# 1
! MnCr2Ni, relaxed, DFT GGA-PBE; values from VASP
! Symmetry: Pmm2, No. 25
! DOS at the Fermi energy, states/eV/f.u.: 4.24
&SYSTEM
  ibrav = 0, nat = 4, ntyp = 3
/
ATOMIC_SPECIES
Ni 58.69 Ni.upf
Cr 52.00 Cr.upf
Mn 54.94 Mn.upf
ATOMIC_POSITIONS crystal
Ni 0.5000 0.5000 0.7493
Cr 0.5000 0.5000 0.2572
Mn 0.0000 0.0000 0.5002
Cr 0.0000 0.0000 0.9933
CELL_PARAMETERS angstrom
-1.8122 1.1596 1.1239
-2.0994 -3.0043 -0.2853
1.7397 -1.6432 4.5005

---

# 2
! BaCaSi, relaxed, DFT GGA-PBE; values from VASP
! Symmetry: F-43m, No. 216
! E_form (uncorrected), eV per atom: 0.32
! ΔE to the lowest computed polymorph, meV/atom: 736
! DOS at the Fermi energy, states/eV/f.u.: 0.15
&SYSTEM
  ibrav = 0, nat = 3, ntyp = 3
/
ATOMIC_SPECIES
Si 28.09 Si.upf
Ca 40.08 Ca.upf
Ba 137.33 Ba.upf
ATOMIC_POSITIONS crystal
Si 0.5000 0.5000 0.5000
Ca 0.0000 0.0000 0.0000
Ba 0.7500 0.7500 0.7500
CELL_PARAMETERS angstrom
-1.6250 4.8814 -1.2138
-3.6992 0.7084 -3.7089
-4.8505 1.5892 1.3744

---

# 3
! Cs2GaPRh, relaxed, DFT GGA-PBE; values from VASP
! Symmetry: P4/mmm, No. 123
! DOS at the Fermi energy, states/eV/f.u.: 3.31
&SYSTEM
  ibrav = 0, nat = 5, ntyp = 4
/
ATOMIC_SPECIES
Cs 132.91 Cs.upf
P 30.97 P.upf
Ga 69.72 Ga.upf
Rh 102.91 Rh.upf
ATOMIC_POSITIONS crystal
Cs 0.0000 0.0000 0.5000
Cs 0.5000 0.0000 0.0000
P 0.0000 0.0000 0.0000
Ga 0.5000 0.5000 0.5000
Rh 0.0000 0.5000 0.0000
CELL_PARAMETERS angstrom
-1.4774 -5.2566 -4.2385
2.3754 -2.6803 2.4962
-5.6080 -1.4616 3.7674

---

# 4
! Cu2AgCl4, relaxed, DFT GGA-PBE; values from VASP
! Symmetry: I4/mmm, No. 139
! E_form (uncorrected), eV per atom: -0.17
! ΔE to the lowest computed polymorph, meV/atom: 314
! DOS at the Fermi energy, states/eV/f.u.: 10.51
&SYSTEM
  ibrav = 0, nat = 7, ntyp = 3
/
ATOMIC_SPECIES
Cl 35.45 Cl.upf
Cu 63.55 Cu.upf
Ag 107.87 Ag.upf
ATOMIC_POSITIONS crystal
Cl 0.7716 0.7716 0.4567
Cl 0.5000 0.0000 0.0000
Cl 0.0000 0.5000 0.0000
Cu 0.5984 0.5984 0.8031
Cl 0.2284 0.2284 0.5433
Cu 0.4016 0.4016 0.1969
Ag 0.0000 0.0000 0.0000
CELL_PARAMETERS angstrom
-2.0647 3.1135 3.4627
-4.3934 -0.0469 -2.5775
-5.0960 -3.3427 3.7136

---

# 5
! CuSi2Hg, relaxed, DFT GGA-PBE; values from VASP
! Symmetry: Imm2, No. 44
! E_form (uncorrected), eV per atom: 0.48
! DOS at the Fermi energy, states/eV/f.u.: 1.57
&SYSTEM
  ibrav = 0, nat = 4, ntyp = 3
/
ATOMIC_SPECIES
Cu 63.55 Cu.upf
Hg 200.59 Hg.upf
Si 28.09 Si.upf
ATOMIC_POSITIONS crystal
Cu 0.5311 0.5311 0.0000
Hg 0.2509 0.7509 0.5000
Si 0.9637 0.9637 0.0000
Si 0.7542 0.2542 0.5000
CELL_PARAMETERS angstrom
4.9137 0.0264 0.0096
1.0848 4.7925 -0.0096
-2.4415 -3.1037 2.9242

---

# 6
! Y3SbPb, relaxed, DFT GGA-PBE; values from VASP
! Symmetry: Pm-3m, No. 221
! E_form (uncorrected), eV per atom: -0.18
! ΔE to the lowest computed polymorph, meV/atom: 444
! DOS at the Fermi energy, states/eV/f.u.: 4.31
&SYSTEM
  ibrav = 0, nat = 5, ntyp = 3
/
ATOMIC_SPECIES
Pb 207.20 Pb.upf
Y 88.91 Y.upf
Sb 121.76 Sb.upf
ATOMIC_POSITIONS crystal
Pb 0.5000 0.5000 0.5000
Y 0.0000 0.5000 0.0000
Y 0.5000 0.0000 0.0000
Y 0.0000 0.0000 0.5000
Sb 0.0000 0.0000 0.0000
CELL_PARAMETERS angstrom
-0.1944 -4.3873 3.5525
4.4688 -2.2916 -2.5856
3.4495 2.7215 3.5498

---

# 7
! InReI2, relaxed, DFT GGA-PBE; values from VASP
! Symmetry: Fm-3m, No. 225
! E_form (uncorrected), eV per atom: 1.29
! ΔE to the lowest computed polymorph, meV/atom: 738
! DOS at the Fermi energy, states/eV/f.u.: 5.22
&SYSTEM
  ibrav = 0, nat = 4, ntyp = 3
/
ATOMIC_SPECIES
Re 186.21 Re.upf
In 114.82 In.upf
I 126.90 I.upf
ATOMIC_POSITIONS crystal
Re 0.5000 0.5000 0.5000
In 0.0000 0.0000 0.0000
I 0.7500 0.7500 0.7500
I 0.2500 0.2500 0.2500
CELL_PARAMETERS angstrom
5.1248 0.3119 0.2568
2.2210 2.8783 3.6344
2.5209 -2.2479 3.8754

---

# 8
! Ag2HgHF6, relaxed, DFT GGA-PBE; values from VASP
! Symmetry: P2_1/c, No. 14
! DOS at the Fermi energy, states/eV/f.u.: 2.77
&SYSTEM
  ibrav = 0, nat = 20, ntyp = 4
/
ATOMIC_SPECIES
Hg 200.59 Hg.upf
F 19.00 F.upf
H 1.01 H.upf
Ag 107.87 Ag.upf
ATOMIC_POSITIONS crystal
Hg 0.0000 0.5000 0.5000
F 0.8334 0.2584 0.6751
H 0.0000 0.5000 0.0000
F 0.6666 0.7584 0.8249
F 0.6819 0.8146 0.1524
F 0.3987 0.2013 0.5120
F 0.3181 0.1854 0.8476
F 0.8181 0.3146 0.3476
Hg 0.5000 0.0000 0.0000
F 0.3334 0.2416 0.1751
Ag 0.0120 0.0298 0.1845
F 0.6013 0.7987 0.4880
F 0.8987 0.2987 0.0120
Ag 0.9880 0.9702 0.8155
Ag 0.4880 0.5298 0.3155
H 0.5000 0.0000 0.5000
F 0.1666 0.7416 0.3249
Ag 0.5120 0.4702 0.6845
F 0.1013 0.7013 0.9880
F 0.1819 0.6854 0.6524
CELL_PARAMETERS angstrom
-5.5334 2.5282 1.0973
0.3079 -1.3145 4.5815
4.9062 9.0289 2.2607

---

# 9
! SrAl2W, relaxed, DFT GGA-PBE; values from VASP
! Symmetry: F-43m, No. 216
! ΔE to the lowest computed polymorph, meV/atom: 699
! DOS at the Fermi energy, states/eV/f.u.: 4.28
&SYSTEM
  ibrav = 0, nat = 4, ntyp = 3
/
ATOMIC_SPECIES
W 183.84 W.upf
Al 26.98 Al.upf
Sr 87.62 Sr.upf
ATOMIC_POSITIONS crystal
W 0.7500 0.7500 0.7500
Al 0.2500 0.2500 0.2500
Al 0.0000 0.0000 0.0000
Sr 0.5000 0.5000 0.5000
CELL_PARAMETERS angstrom
4.8302 0.0000 0.0000
2.4151 4.1830 0.0000
2.4151 1.3943 3.9438

---

# 10
! Cs2PaAlSe4, relaxed, DFT GGA-PBE; values from VASP
! Symmetry: Fddd, No. 70
! E_form (uncorrected), eV per atom: -1.05
! DOS at the Fermi energy, states/eV/f.u.: 6.89
&SYSTEM
  ibrav = 0, nat = 16, ntyp = 4
/
ATOMIC_SPECIES
Se 78.96 Se.upf
Al 26.98 Al.upf
Pa 231.04 Pa.upf
Cs 132.91 Cs.upf
ATOMIC_POSITIONS crystal
Se 0.1840 0.3073 0.3979
Al 0.5000 0.0000 0.0000
Pa 0.0000 0.0000 0.0000
Pa 0.7500 0.5000 0.5000
Cs 0.8217 0.0000 0.3565
Se 0.8891 0.6927 0.6021
Se 0.8609 0.8073 0.8979
Se 0.5087 0.3073 0.6021
Cs 0.9283 0.5000 0.1435
Se 0.2413 0.1927 0.8979
Se 0.5660 0.1927 0.1021
Se 0.4181 0.6927 0.3979
Cs 0.1783 0.0000 0.6435
Cs 0.5717 0.5000 0.8565
Al 0.2500 0.5000 0.5000
Se 0.3319 0.8073 0.1021
CELL_PARAMETERS angstrom
-1.8371 -6.3428 0.7313
-0.2787 -4.2203 -7.1248
11.9446 -6.7133 1.9605

---

# 11
! Sb2Pd7Pb, relaxed, DFT GGA-PBE; values from VASP
! Symmetry: I4/mmm, No. 139
! E_form (uncorrected), eV per atom: -0.35
! ΔE to the lowest computed polymorph, meV/atom: 0
! DOS at the Fermi energy, states/eV/f.u.: 2.61
&SYSTEM
  ibrav = 0, nat = 10, ntyp = 3
/
ATOMIC_SPECIES
Pd 106.42 Pd.upf
Pb 207.20 Pb.upf
Sb 121.76 Sb.upf
ATOMIC_POSITIONS crystal
Pd 0.9063 0.4063 0.8126
Pb 0.0000 0.0000 0.0000
Pd 0.5000 0.5000 0.0000
Pd 0.0937 0.5937 0.1874
Sb 0.6701 0.6701 0.3402
Pd 0.4063 0.9063 0.8126
Pd 0.7500 0.2500 0.5000
Sb 0.3299 0.3299 0.6598
Pd 0.5937 0.0937 0.1874
Pd 0.2500 0.7500 0.5000
CELL_PARAMETERS angstrom
4.0030 0.0000 -0.7703
-0.1482 4.0003 -0.7703
0.1682 0.1746 11.6612

---

# 12
! Er6Bi3Sb2Se, relaxed, DFT GGA-PBE; values from VASP
! Symmetry: C2/m, No. 12
! E_form (uncorrected), eV per atom: -1.05
! DOS at the Fermi energy, states/eV/f.u.: 2.03
&SYSTEM
  ibrav = 0, nat = 12, ntyp = 4
/
ATOMIC_SPECIES
Er 167.26 Er.upf
Bi 208.98 Bi.upf
Sb 121.76 Sb.upf
Se 78.96 Se.upf
ATOMIC_POSITIONS crystal
Er 0.6678 0.5793 0.3356
Er 0.9998 0.7584 0.9996
Er 0.3388 0.9158 0.6775
Er 0.6612 0.0842 0.3225
Bi 0.5000 0.5000 0.0000
Sb 0.1654 0.3310 0.3308
Er 0.3322 0.4207 0.6644
Sb 0.8346 0.6690 0.6692
Bi 0.1678 0.8347 0.3356
Er 0.0002 0.2416 0.0004
Se 0.5000 0.0000 0.0000
Bi 0.8322 0.1653 0.6644
CELL_PARAMETERS angstrom
4.3548 0.0000 0.0000
0.0000 8.7069 0.3109
-2.1774 -2.5074 9.1327

---

# 13
! Pm5ScP6, relaxed, DFT GGA-PBE; values from VASP
! Symmetry: C2/m, No. 12
! DOS at the Fermi energy, states/eV/f.u.: 1.59
&SYSTEM
  ibrav = 0, nat = 12, ntyp = 3
/
ATOMIC_SPECIES
P 30.97 P.upf
Pm 145.00 Pm.upf
Sc 44.96 Sc.upf
ATOMIC_POSITIONS crystal
P 0.7595 0.7595 0.2440
Pm 0.3340 0.6660 0.0000
Pm 0.6660 0.3340 0.0000
P 0.2405 0.2405 0.7560
P 0.9194 0.5972 0.7578
P 0.0806 0.4028 0.2422
Pm 0.8315 0.1685 0.5000
Pm 0.1685 0.8315 0.5000
P 0.5972 0.9194 0.7578
Pm 0.5000 0.5000 0.5000
Sc 0.0000 0.0000 0.0000
P 0.4028 0.0806 0.2422
CELL_PARAMETERS angstrom
-0.6548 6.8561 1.5510
-3.7888 -2.8082 -5.2535
-3.4002 -2.7877 5.5255

---

# 14
! LiNd12Ni6, relaxed, DFT GGA-PBE; values from VASP
! Symmetry: Im-3, No. 204
! DOS at the Fermi energy, states/eV/f.u.: 21.17
&SYSTEM
  ibrav = 0, nat = 19, ntyp = 3
/
ATOMIC_SPECIES
Ni 58.69 Ni.upf
Nd 144.24 Nd.upf
Li 6.94 Li.upf
ATOMIC_POSITIONS crystal
Ni 0.3789 0.5000 0.8789
Nd 0.6911 0.5039 0.8128
Nd 0.3089 0.1218 0.8128
Nd 0.1872 0.6911 0.8782
Nd 0.1872 0.3089 0.4961
Nd 0.4961 0.1872 0.3089
Ni 0.1211 0.6211 0.5000
Li 0.0000 0.0000 0.0000
Nd 0.1218 0.8128 0.3089
Ni 0.5000 0.1211 0.6211
Ni 0.6211 0.5000 0.1211
Nd 0.5039 0.8128 0.6911
Nd 0.6911 0.8782 0.1872
Nd 0.8128 0.6911 0.5039
Nd 0.3089 0.4961 0.1872
Ni 0.5000 0.8789 0.3789
Nd 0.8782 0.1872 0.6911
Nd 0.8128 0.3089 0.1218
Ni 0.8789 0.3789 0.5000
CELL_PARAMETERS angstrom
-4.5251 6.7654 3.1858
-3.9675 -7.4643 2.2226
8.0923 0.0936 3.3020

---

# 15
! Na6TlIn23, relaxed, DFT GGA-PBE; values from VASP
! Symmetry: Fm-3m, No. 225
! DOS at the Fermi energy, states/eV/f.u.: 6.92
&SYSTEM
  ibrav = 0, nat = 30, ntyp = 3
/
ATOMIC_SPECIES
In 114.82 In.upf
Na 22.99 Na.upf
Tl 204.38 Tl.upf
ATOMIC_POSITIONS crystal
In 0.3683 0.8951 0.3683
In 0.8709 0.8709 0.3874
Na 0.7479 0.7479 0.2521
In 0.8709 0.3874 0.8709
In 0.5000 0.0000 0.0000
In 0.8951 0.3683 0.3683
Na 0.2521 0.7479 0.2521
In 0.3683 0.3683 0.8951
In 0.3683 0.3683 0.3683
In 0.1291 0.6126 0.1291
In 0.1291 0.1291 0.1291
Tl 0.5000 0.5000 0.5000
In 0.6126 0.1291 0.1291
In 0.6317 0.6317 0.6317
In 0.0000 0.5000 0.0000
Na 0.2521 0.7479 0.7479
In 0.5000 0.0000 0.5000
Na 0.7479 0.2521 0.2521
In 0.8709 0.8709 0.8709
In 0.0000 0.0000 0.0000
In 0.5000 0.5000 0.0000
In 0.1049 0.6317 0.6317
In 0.6317 0.1049 0.6317
In 0.3874 0.8709 0.8709
In 0.6317 0.6317 0.1049
Na 0.2521 0.2521 0.7479
In 0.0000 0.5000 0.5000
In 0.1291 0.1291 0.6126
In 0.0000 0.0000 0.5000
Na 0.7479 0.2521 0.7479
CELL_PARAMETERS angstrom
-7.5317 4.2385 5.9539
-9.7023 1.1391 -3.8350
-7.8142 -5.9918 3.6299

---

# 16
! Li2PmSbSe4, relaxed, DFT GGA-PBE; values from VASP
! Symmetry: P2/m, No. 10
! E_form (uncorrected), eV per atom: -1.15
&SYSTEM
  ibrav = 0, nat = 8, ntyp = 4
/
ATOMIC_SPECIES
Li 6.94 Li.upf
Se 78.96 Se.upf
Sb 121.76 Sb.upf
Pm 145.00 Pm.upf
ATOMIC_POSITIONS crystal
Li 0.0000 0.0000 0.0000
Se 0.0000 0.2413 0.2479
Sb 0.5000 0.5000 0.0000
Se 0.0000 0.7587 0.7521
Se 0.5000 0.7581 0.2419
Pm 0.0000 0.5000 0.5000
Se 0.5000 0.2419 0.7581
Li 0.5000 0.0000 0.5000
CELL_PARAMETERS angstrom
4.1259 0.0000 0.0000
0.0000 6.9374 -0.0659
0.0000 2.5204 6.7103

---

# 17
! Tc4BiPb2, relaxed, DFT GGA-PBE; values from VASP
! Symmetry: I4/mmm, No. 139
! DOS at the Fermi energy, states/eV/f.u.: 9.92
&SYSTEM
  ibrav = 0, nat = 7, ntyp = 3
/
ATOMIC_SPECIES
Tc 98.00 Tc.upf
Bi 208.98 Bi.upf
Pb 207.20 Pb.upf
ATOMIC_POSITIONS crystal
Tc 0.8140 0.8140 0.3719
Tc 0.1860 0.1860 0.6281
Bi 0.0000 0.0000 0.0000
Pb 0.6238 0.6238 0.7524
Pb 0.3762 0.3762 0.2476
Tc 0.0000 0.5000 0.0000
Tc 0.5000 0.0000 0.0000
CELL_PARAMETERS angstrom
-2.2910 3.0859 -3.1495
2.0279 -2.4143 -3.8406
-5.7682 -4.0637 -3.7056

---

# 18
! Rb5OsS5, relaxed, DFT GGA-PBE; values from VASP
! Symmetry: C2/m, No. 12
! E_form (uncorrected), eV per atom: -0.54
! DOS at the Fermi energy, states/eV/f.u.: 6.46
&SYSTEM
  ibrav = 0, nat = 11, ntyp = 3
/
ATOMIC_SPECIES
Rb 85.47 Rb.upf
S 32.06 S.upf
Os 190.23 Os.upf
ATOMIC_POSITIONS crystal
Rb 0.3343 0.6685 0.1625
Rb 0.0000 0.0000 0.5000
S 0.8796 0.7591 0.1225
Os 0.0000 0.0000 0.0000
S 0.8747 0.7494 0.7385
Rb 0.6657 0.3315 0.8375
S 0.1253 0.2506 0.2615
Rb 0.6937 0.3874 0.2989
S 0.1204 0.2409 0.8775
S 0.5000 0.0000 0.0000
Rb 0.3063 0.6126 0.7011
CELL_PARAMETERS angstrom
-4.0769 4.6324 -0.3306
-1.2353 -5.5976 -5.4434
-3.6015 -2.6347 7.4953

---

# 19
! AgPd8Pt6, relaxed, DFT GGA-PBE; values from VASP
! Symmetry: R-3, No. 148
! ΔE to the lowest computed polymorph, meV/atom: 0
! DOS at the Fermi energy, states/eV/f.u.: 31.12
&SYSTEM
  ibrav = 0, nat = 15, ntyp = 3
/
ATOMIC_SPECIES
Pd 106.42 Pd.upf
Pt 195.08 Pt.upf
Ag 107.87 Ag.upf
ATOMIC_POSITIONS crystal
Pd 0.6592 0.8195 0.1220
Pt 0.7201 0.9397 0.4778
Pt 0.5222 0.2799 0.0603
Pd 0.5805 0.5805 0.5805
Ag 0.0000 0.0000 0.0000
Pd 0.1220 0.6592 0.8195
Pt 0.9397 0.4778 0.7201
Pt 0.4778 0.7201 0.9397
Pd 0.1805 0.8780 0.3408
Pt 0.2799 0.0603 0.5222
Pd 0.8780 0.3408 0.1805
Pd 0.3408 0.1805 0.8780
Pd 0.4195 0.4195 0.4195
Pd 0.8195 0.1220 0.6592
Pt 0.0603 0.5222 0.2799
CELL_PARAMETERS angstrom
6.2149 0.3060 3.3172
2.1248 5.8484 3.3172
0.4147 0.3060 7.0326

---

# 20
! Tc2TeRh, relaxed, DFT GGA-PBE; values from VASP
! Symmetry: R-3m, No. 166
! E_form (uncorrected), eV per atom: 0.47
! DOS at the Fermi energy, states/eV/f.u.: 4.11
&SYSTEM
  ibrav = 0, nat = 4, ntyp = 3
/
ATOMIC_SPECIES
Rh 102.91 Rh.upf
Tc 98.00 Tc.upf
Te 127.60 Te.upf
ATOMIC_POSITIONS crystal
Rh 0.7500 0.7500 0.7500
Tc 0.4998 0.4998 0.4998
Te 0.2500 0.2500 0.2500
Tc 0.0002 0.0002 0.0002
CELL_PARAMETERS angstrom
-0.5965 4.4842 -7.3616
-3.4696 4.4486 -6.5443
-1.6259 6.5194 -5.4323

---

Number 1: calculated total energy -33.6 eV per formula unit. Number 2: calculated total energy -8.4 eV per formula unit. Number 3: calculated total energy -16.7 eV per formula unit. Number 4: calculated total energy -19.6 eV per formula unit. Number 5: calculated total energy -13.3 eV per formula unit. Number 6: calculated total energy -28.1 eV per formula unit. Number 7: calculated total energy -13.1 eV per formula unit. Number 8: calculated total energy -33.3 eV per formula unit. Number 9: calculated total energy -18.7 eV per formula unit. Number 10: calculated total energy -37.3 eV per formula unit. Number 11: calculated total energy -51.8 eV per formula unit. Number 12: calculated total energy -63.4 eV per formula unit. Number 13: calculated total energy -80.8 eV per formula unit. Number 14: calculated total energy -97.5 eV per formula unit. Number 15: calculated total energy -74.6 eV per formula unit. Number 16: calculated total energy -35.8 eV per formula unit. Number 17: calculated total energy -40.3 eV per formula unit. Number 18: calculated total energy -42.7 eV per formula unit. Number 19: calculated total energy -79.0 eV per formula unit. Number 20: calculated total energy -29.3 eV per formula unit.